[1]
Compound: Ca3DyPd4
Source: Alexandria
Functional: PBE
Structure: optimized geometry

Geometry as extended XYZ:
```
8
Lattice="3.523 0.000 0.000 0.000 3.523 0.000 0.000 0.000 14.180" Properties=species:S:1:pos:R:3 pbc="T T T"
Ca 1.761 1.761 3.567
Ca 1.761 1.761 7.090
Ca 1.761 1.761 10.613
Pd 0.000 0.000 12.558
Pd 0.000 0.000 1.622
Pd 0.000 0.000 5.316
Pd 0.000 0.000 8.865
Dy 1.761 1.761 0.000
```

Properties
Formation energy from the elements = -0.7528 eV/atom
Density = 6.69 g/cm3
SG = P4/mmm
V = 176 Å³/f.u.

[2]
Compound: CaDy3Pd4
Source: Alexandria
Functional: PBE
Structure: optimized geometry

Geometry as extended XYZ:
```
8
Lattice="5.726 0.000 -2.025 -2.863 4.959 -2.025 0.000 0.000 6.074" Properties=species:S:1:pos:R:3 pbc="T T T"
Ca 0.000 0.000 0.000
Pd 0.000 0.000 3.036
Pd 1.432 2.480 1.012
Pd 2.863 0.000 -1.012
Pd -1.431 2.479 -1.012
Dy -1.432 2.480 2.025
Dy 2.863 0.000 2.025
Dy 1.432 2.480 -2.025
```

Properties
Formation energy from the elements = -0.8371 eV/atom
Density = 9.18 g/cm3
SG = Im-3m
V = 172 Å³/f.u.

[3]
Compound: CaDyPd
Source: Alexandria
Functional: PBE
Structure: optimized geometry

Geometry as extended XYZ:
```
3
Lattice="3.566 0.000 0.000 0.000 3.566 0.000 -1.783 -1.783 6.428" Properties=species:S:1:pos:R:3 pbc="T T T"
Ca 0.000 0.000 0.370
Pd 1.783 1.783 2.294
Dy 0.000 0.000 3.764
```

Properties
Formation energy from the elements = -0.5222 eV/atom
Energy relative to the lowest polymorph listed for this composition = 43 meV per atom
Density = 6.28 g/cm3
SG = I4mm
V = 82 Å³/f.u.

[4]
Compound: CaDyPd
Source: Alexandria
Functional: PBE
Structure: optimized geometry

Geometry as extended XYZ:
```
6
Lattice="-4.490 -0.648 3.232 -1.541 -5.375 -1.931 2.552 -1.664 4.653" Properties=species:S:1:pos:R:3 pbc="T T T"
Ca -3.492 -3.982 2.539
Ca -0.010 -3.755 3.431
Dy -1.551 -1.866 6.261
Dy -0.410 -0.495 1.639
Pd -2.377 -1.446 3.531
Pd -1.125 -6.291 2.439
```

Properties
Formation energy from the elements = -0.5356 eV/atom
Energy relative to the lowest polymorph listed for this composition = 30 meV per atom
Density = 5.77 g/cm3
SG = P-1
V = 89 Å³/f.u.

[5]
Compound: CaDyPd2
Source: Alexandria
Functional: PBE
Structure: optimized geometry

Geometry as extended XYZ:
```
4
Lattice="-2.950 1.892 -0.015 -0.330 -0.486 3.455 3.793 5.922 1.195" Properties=species:S:1:pos:R:3 pbc="T T T"
Ca 0.257 3.664 2.318
Pd 2.928 4.572 0.923
Pd 0.864 1.350 0.272
Dy -1.640 0.703 1.720
```

Properties
Formation energy from the elements = -0.8263 eV/atom
Energy relative to the lowest polymorph listed for this composition = 0 meV per atom
Density = 7.87 g/cm3
SG = P4/mmm
V = 88 Å³/f.u.

[6]
Compound: CaDyPd
Source: Alexandria
Functional: PBE
Structure: optimized geometry

Geometry as extended XYZ:
```
3
Lattice="-2.809 -2.172 -3.409 0.702 -4.743 -1.110 -3.338 -3.361 1.338" Properties=species:S:1:pos:R:3 pbc="T T T"
Ca 0.000 0.000 0.000
Pd -1.361 -2.569 -0.795
Dy -2.722 -5.138 -1.591
```

Properties
Formation energy from the elements = -0.4445 eV/atom
Energy relative to the lowest polymorph listed for this composition = 121 meV per atom
Density = 6.09 g/cm3
SG = F-43m
V = 84 Å³/f.u.

[7]
Compound: Ca2Dy3Pd2
Source: Alexandria
Functional: PBE
Structure: optimized geometry

Geometry as extended XYZ:
```
7
Lattice="3.742 0.000 1.052 1.405 6.065 2.185 -0.380 -0.284 8.537" Properties=species:S:1:pos:R:3 pbc="T T T"
Ca 1.208 2.887 2.886
Ca 3.559 2.894 8.888
Dy 1.871 0.000 0.526
Dy 2.379 4.734 5.901
Dy 2.387 1.047 5.873
Pd 1.607 5.342 8.650
Pd 3.160 0.439 3.125
```

Properties
Formation energy from the elements = -0.5094 eV/atom
Density = 6.54 g/cm3
SG = C2/m
V = 198 Å³/f.u.

[8]
Compound: CaDyPd2
Source: Alexandria
Functional: PBE
Structure: optimized geometry

Geometry as extended XYZ:
```
4
Lattice="-4.864 -0.855 -0.431 -2.750 -0.768 4.053 -3.260 3.433 1.471" Properties=species:S:1:pos:R:3 pbc="T T T"
Ca -5.437 0.905 2.546
Pd -2.719 0.453 1.273
Pd -8.156 1.358 3.819
Dy 0.000 0.000 0.000
```

Properties
Formation energy from the elements = -0.7761 eV/atom
Energy relative to the lowest polymorph listed for this composition = 50 meV per atom
Density = 8.01 g/cm3
SG = Fm-3m
V = 86 Å³/f.u.